Below is a relaxed Al2IrW crystal, with properties calculated at the GGA-PBE level.

Computed properties:
- Total DFT energy (no corrections): -7.569 eV/atom
- V: 185.1 Å³/cell

Cell: 2.8530 2.8530 26.2585 Å, 90.00 90.00 120.00°
Last column: nearest neighbours and their distance in Å.
Space group R3m (No. 160, hexagonal axes)
Symmetry-distinct sites (fractional):
Al: 0.0000 0.0000 0.0000 x3  3 W 2.78, 9 Al 2.83-2.85
Al: 0.0000 0.0000 0.2455 x3  3 Ir 2.64, 9 Al 2.83-2.85
Ir: 0.0000 0.0000 0.5003 x3  3 Al 2.64, 3 W 2.71, 6 Ir 2.85
W: 0.0000 0.0000 0.7518 x3  3 Ir 2.71, 3 Al 2.78, 6 W 2.85